This record from Alexandria via LeMat-Bulk describes crystalline Sr3Ga2Hg2Au4 at its relaxed geometry. The functional is GGA-PBE.

Output
The formation enthalpy at 0 K comes out at -0.544 eV per atom. As for the calculated volume: 25.76 Å³ per atom. The size of the total moment is 0.00 Bohr magnetons per cell.

Cell lengths 4.7776, 4.7776, 12.8658 Å; angles 100.70, 100.70, 90.00 degrees
Sites, in units of the cell vectors:
Hg: 0.6761 0.6761 0.3523
Hg: 0.3239 0.3239 0.6477
Ga: 0.5512 0.5512 0.1025
Ga: 0.4488 0.4488 0.8975
Au: 0.4038 0.9038 0.8076
Au: 0.5962 0.0962 0.1924
Au: 0.0962 0.5962 0.1924
Au: 0.9038 0.4038 0.8076
Sr: 0.8114 0.8114 0.6228
Sr: 0.1886 0.1886 0.3772
Sr: 0.0000 0.0000 0.0000